# NaMgCdRh

A relaxed NaMgCdRh crystal (PBE, Alexandria via LeMat-Bulk).

```
NaMgCdRh
1.0
-2.0696 4.1644 0.8035
-1.8168 2.4640 -3.5915
-4.6790 0.4329 -0.4366
Na Mg Cd Rh
1 1 1 1
Direct
0.0000 0.0000 0.0000
0.2500 0.2500 0.2500
0.7500 0.7500 0.7500
0.5000 0.5000 0.5000
```

Computed properties:
energy = -11.631 eV per cell
space group = F-43m, No. 216
energy relative to the elements = -0.11 eV/atom
total magnetization = 0.00 Bohr magnetons per cell